CdIn4Pb2, optimized geometry, DFT PBE; offset from the most stable computed form = 0 meV per atom; ΔE_f = 6.9 kJ/mol of atoms
1.0
-5.296 5.296 7.499
5.296 -5.296 7.499
5.296 5.296 -7.499
Cd In Pb
4 16 8
Direct
0.000 0.000 0.000 Cd
0.000 0.000 0.500 Cd
0.000 0.500 0.000 Cd
0.500 0.000 0.500 Cd
0.000 0.500 0.500 In
0.097 0.347 0.193 In
0.097 0.347 0.750 In
0.097 0.903 0.750 In
0.347 0.097 0.250 In
0.347 0.097 0.693 In
0.347 0.653 0.250 In
0.500 0.000 0.000 In
0.500 0.500 0.000 In
0.500 0.500 0.500 In
0.653 0.347 0.750 In
0.653 0.903 0.307 In
0.653 0.903 0.750 In
0.903 0.097 0.250 In
0.903 0.653 0.250 In
0.903 0.653 0.807 In
0.288 0.363 0.575 Pb
0.288 0.712 0.575 Pb
0.288 0.712 0.925 Pb
0.363 0.288 0.075 Pb
0.637 0.712 0.925 Pb
0.712 0.288 0.075 Pb
0.712 0.288 0.425 Pb
0.712 0.637 0.425 Pb

---

CuSi2Sb, optimized geometry, DFT PBE; formation energy (no corrections) = 1.4 eV/f.u.
1.0
3.170 0.000 0.000
0.000 3.412 0.000
0.000 0.000 6.692
Cu Si Sb
1 2 1
Direct
0.000 0.000 0.000 Cu
0.000 0.000 0.635 Si
0.500 0.500 0.800 Si
0.500 0.500 0.239 Sb

---

VBP2Cl, optimized geometry, DFT PBE; offset from the most stable computed form = 92 meV per atom; formation energy (no corrections) = 4.9 eV/f.u.
1.0
4.494 0.000 0.000
0.000 4.494 0.000
0.000 0.000 4.902
V B P Cl
1 1 2 1
Direct
0.000 0.000 0.000 V
0.500 0.500 0.500 B
0.000 0.500 0.000 P
0.500 0.000 0.000 P
0.000 0.000 0.500 Cl

---

AcNpBi2, optimized geometry, DFT PBE; offset from the most stable computed form = 573 meV per atom; ΔE_f = 28.2 kJ/mol of atoms
1.0
4.310 0.000 0.000
-2.155 3.733 0.000
0.000 0.000 31.440
Ac Np Bi
3 3 6
Direct
0.000 0.000 0.000 Ac
0.333 0.667 0.667 Ac
0.667 0.333 0.333 Ac
0.000 0.000 0.500 Np
0.333 0.667 0.167 Np
0.667 0.333 0.833 Np
0.000 0.000 0.105 Bi
0.000 0.000 0.895 Bi
0.333 0.667 0.562 Bi
0.333 0.667 0.771 Bi
0.667 0.333 0.229 Bi
0.667 0.333 0.438 Bi

---

Ba12Pd3Br5, optimized geometry, DFT PBE; formation energy (no corrections) = -15.1 eV/f.u.
1.0
-9.792 9.792 9.792
9.792 -9.792 9.792
9.792 9.792 -9.792
Ba Pd Br
48 12 20
Direct
0.057 0.230 0.129 Ba
0.057 0.327 0.928 Ba
0.072 0.629 0.399 Ba
0.072 0.943 0.673 Ba
0.101 0.730 0.673 Ba
0.101 0.871 0.428 Ba
0.129 0.057 0.230 Ba
0.129 0.572 0.899 Ba
0.173 0.230 0.601 Ba
0.173 0.443 0.572 Ba
0.230 0.129 0.057 Ba
0.230 0.601 0.173 Ba
0.270 0.327 0.899 Ba
0.270 0.443 0.371 Ba
0.327 0.899 0.270 Ba
0.327 0.928 0.057 Ba
0.371 0.270 0.443 Ba
0.371 0.601 0.928 Ba
0.399 0.072 0.629 Ba
0.399 0.827 0.770 Ba
0.428 0.101 0.871 Ba
0.428 0.827 0.557 Ba
0.443 0.371 0.270 Ba
0.443 0.572 0.173 Ba
0.557 0.428 0.827 Ba
0.557 0.629 0.730 Ba
0.572 0.173 0.443 Ba
0.572 0.899 0.129 Ba
0.601 0.173 0.230 Ba
0.601 0.928 0.371 Ba
0.629 0.399 0.072 Ba
0.629 0.730 0.557 Ba
0.673 0.072 0.943 Ba
0.673 0.101 0.730 Ba
0.730 0.557 0.629 Ba
0.730 0.673 0.101 Ba
0.770 0.399 0.827 Ba
0.770 0.871 0.943 Ba
0.827 0.557 0.428 Ba
0.827 0.770 0.399 Ba
0.871 0.428 0.101 Ba
0.871 0.943 0.770 Ba
0.899 0.129 0.572 Ba
0.899 0.270 0.327 Ba
0.928 0.057 0.327 Ba
0.928 0.371 0.601 Ba
0.943 0.673 0.072 Ba
0.943 0.770 0.871 Ba
0.125 0.250 0.375 Pd
0.125 0.375 0.750 Pd
0.250 0.375 0.125 Pd
0.250 0.875 0.625 Pd
0.375 0.125 0.250 Pd
0.375 0.750 0.125 Pd
0.625 0.250 0.875 Pd
0.625 0.875 0.750 Pd
0.750 0.125 0.375 Pd
0.750 0.625 0.875 Pd
0.875 0.625 0.250 Pd
0.875 0.750 0.625 Pd
0.000 0.000 0.000 Br
0.000 0.000 0.500 Br
0.000 0.500 0.000 Br
0.000 0.500 0.500 Br
0.125 0.750 0.875 Br
0.125 0.875 0.250 Br
0.250 0.125 0.875 Br
0.250 0.625 0.375 Br
0.375 0.250 0.625 Br
0.375 0.625 0.750 Br
0.500 0.000 0.000 Br
0.500 0.000 0.500 Br
0.500 0.500 0.000 Br
0.500 0.500 0.500 Br
0.625 0.375 0.250 Br
0.625 0.750 0.375 Br
0.750 0.375 0.625 Br
0.750 0.875 0.125 Br
0.875 0.125 0.750 Br
0.875 0.250 0.125 Br

---

RbMnPS2, optimized geometry, DFT PBE; offset from the most stable computed form = 0 meV per atom; formation energy (no corrections) = -0.8 eV/f.u.
1.0
4.869 0.000 0.000
0.000 4.869 0.000
0.000 0.000 4.540
Rb Mn P S
1 1 1 2
Direct
0.000 0.000 0.000 Rb
0.500 0.500 0.500 Mn
0.500 0.500 0.000 P
0.000 0.500 0.500 S
0.500 0.000 0.500 S

---

CaFe2NiAs, optimized geometry, DFT PBE; ΔE_f = 66.6 kJ/mol of atoms
1.0
4.470 0.000 0.000
0.000 4.470 0.000
0.000 0.000 5.385
Ca Fe Ni As
1 2 1 1
Direct
0.000 0.000 0.000 Ca
0.000 0.500 0.500 Fe
0.500 0.000 0.500 Fe
0.500 0.500 0.000 Ni
0.000 0.000 0.500 As

---

RbInI2O, optimized geometry, DFT PBE; offset from the most stable computed form = 0 meV per atom; formation energy (no corrections) = -4.8 eV/f.u.
1.0
6.492 0.000 0.000
0.000 6.492 0.000
0.000 0.000 4.032
Rb In I O
1 1 2 1
Direct
0.000 0.000 0.000 Rb
0.500 0.500 0.500 In
0.000 0.500 0.500 I
0.500 0.000 0.500 I
0.500 0.500 0.000 O

---

Zr2NbAs2, optimized geometry, DFT PBE; offset from the most stable computed form = 768 meV per atom; ΔE_f = -9.5 kJ/mol of atoms
1.0
4.085 0.000 0.000
0.000 4.085 0.000
0.000 0.000 11.983
Zr Nb As
4 2 4
Direct
0.000 0.500 0.250 Zr
0.000 0.500 0.750 Zr
0.500 0.000 0.250 Zr
0.500 0.000 0.750 Zr
0.000 0.000 0.000 Nb
0.500 0.500 0.500 Nb
0.000 0.000 0.399 As
0.000 0.000 0.601 As
0.500 0.500 0.101 As
0.500 0.500 0.899 As

---

La2MgCuN, optimized geometry, DFT PBE; formation energy (no corrections) = -2.4 eV/f.u.
1.0
5.129 0.000 0.000
0.000 5.129 0.000
0.000 0.000 4.213
La Mg Cu N
2 1 1 1
Direct
0.000 0.500 0.000 La
0.500 0.000 0.000 La
0.000 0.000 0.500 Mg
0.500 0.500 0.500 Cu
0.000 0.000 0.000 N

---

AcTb3Nd2Sm6, optimized geometry, DFT PBE; ΔE_f = 2.5 kJ/mol of atoms
1.0
3.165 -5.481 0.000
3.165 5.481 0.000
-2.110 0.000 11.914
Ac Tb Nd Sm
1 3 2 6
Direct
0.000 0.000 0.000 Ac
0.167 0.833 0.500 Tb
0.500 0.500 0.500 Tb
0.833 0.167 0.500 Tb
0.333 0.667 0.000 Nd
0.667 0.333 0.000 Nd
0.086 0.421 0.256 Sm
0.250 0.250 0.744 Sm
0.421 0.086 0.256 Sm
0.579 0.914 0.744 Sm
0.750 0.750 0.256 Sm
0.914 0.579 0.744 Sm

---

Mg3Zn2Pt2, optimized geometry, DFT PBE; ΔE_f = -49.7 kJ/mol of atoms
1.0
7.553 0.000 0.000
0.000 4.547 0.000
-2.909 0.000 6.570
Mg Zn Pt
6 4 4
Direct
0.000 0.000 0.000 Mg
0.144 0.000 0.423 Mg
0.356 0.500 0.577 Mg
0.500 0.500 0.000 Mg
0.644 0.500 0.423 Mg
0.856 0.000 0.577 Mg
0.218 0.500 0.147 Zn
0.282 0.000 0.853 Zn
0.718 0.000 0.147 Zn
0.782 0.500 0.853 Zn
0.075 0.500 0.737 Pt
0.425 0.000 0.263 Pt
0.575 0.000 0.737 Pt
0.925 0.500 0.263 Pt

---

VASP energy values, unit eV/atom, following the record order: -2.68, -4.42, -4.72, -5.91, -3.11, -4.92, -5.18, -3.31, -7.39, -5.26, -4.63, -3.29.